Record 1
Compound: BaIn4Ga2
Source: Alexandria via LeMat-Bulk
Functional: PBE-GGA
Structure: optimized geometry

Cell and atoms, written as POSCAR:
```
BaIn4Ga2
1.0
5.144 0.000 0.000
0.000 4.711 0.000
0.000 -2.355 7.934
Ba In Ga
1 4 2
direct
0.000 0.000 0.000
0.500 0.183 0.367
0.000 0.317 0.634
0.000 0.683 0.366
0.500 0.817 0.633
0.500 0.417 0.835
0.500 0.583 0.165
```

For the total magnetization, the calculation gives 0.0000 μB/atom. Its space group is Cmmm. Its theoretical density is 6.4 g/cm³. The value obtained for the formation enthalpy at 0 K is -1.55 eV/f.u.

Record 2
Compound: Ba3In3Ga
Source: Alexandria via LeMat-Bulk
Functional: PBE-GGA
Structure: optimized geometry

Cell and atoms, written as POSCAR:
```
Ba3In3Ga
1.0
-3.796 -1.300 2.352
1.951 -3.993 5.542
-0.069 12.357 11.317
Ga Ba In
2 6 6
direct
0.788 0.040 0.383
0.212 0.960 0.617
0.613 0.694 0.079
0.259 0.243 0.239
0.741 0.757 0.761
0.516 0.361 0.607
0.484 0.639 0.393
0.387 0.306 0.921
0.820 0.820 0.540
0.028 0.180 0.764
0.899 0.123 0.079
0.101 0.877 0.921
0.972 0.820 0.236
0.180 0.180 0.460
```

For the total magnetization, the calculation gives 0.0000 μB/atom. Its space group is C2/m. Its theoretical density is 5.3 g/cm³. The value obtained for the formation enthalpy at 0 K is -2.94 eV/f.u.

Record 3
Compound: Ba3In3Ga2
Source: Alexandria via LeMat-Bulk
Functional: PBE-GGA
Structure: optimized geometry

Cell and atoms, written as POSCAR:
```
Ba3In3Ga2
1.0
6.711 0.000 0.000
0.000 9.298 0.000
0.000 0.000 17.050
Ba In Ga
12 12 8
direct
0.620 0.040 0.892
0.607 0.315 0.250
0.120 0.460 0.392
0.880 0.540 0.608
0.893 0.815 0.250
0.107 0.185 0.750
0.393 0.685 0.750
0.620 0.040 0.608
0.380 0.960 0.392
0.880 0.540 0.892
0.380 0.960 0.108
0.120 0.460 0.108
0.904 0.830 0.750
0.385 0.682 0.965
0.885 0.818 0.465
0.615 0.318 0.465
0.115 0.182 0.535
0.596 0.330 0.750
0.615 0.318 0.035
0.885 0.818 0.035
0.096 0.170 0.250
0.115 0.182 0.965
0.385 0.682 0.535
0.404 0.670 0.250
0.616 0.605 0.398
0.884 0.105 0.398
0.884 0.105 0.102
0.116 0.895 0.898
0.384 0.395 0.602
0.384 0.395 0.898
0.116 0.895 0.602
0.616 0.605 0.102
```

For the total magnetization, the calculation gives 0.0000 μB/atom. Its space group is Pnma. Its theoretical density is 5.6 g/cm³. The value obtained for the formation enthalpy at 0 K is -3.35 eV/f.u.